# Ac12Co5Cu

A relaxed Ac12Co5Cu crystal (PBE, Alexandria via LeMat-Bulk).

Output
**E_form**: -0.02 eV/atom

Cell and atoms, written as POSCAR:
```
Ac12Co5Cu
1.0
6.4675 3.6494 0.0067
-6.4675 3.6494 0.0067
0.0000 0.0340 13.7298
Ac Co Cu
12 5 1
Direct
0.1638 0.1638 0.6123
0.8362 0.8362 0.3877
0.3526 0.3526 0.1164
0.6474 0.6474 0.8836
0.6520 0.0025 0.1151
0.9975 0.3480 0.8849
0.0025 0.6520 0.1151
0.3480 0.9975 0.8849
0.5028 0.1701 0.3892
0.1701 0.5028 0.3892
0.8299 0.4972 0.6108
0.4972 0.8299 0.6108
0.5000 0.5000 0.5000
0.8336 0.1664 0.5000
0.1664 0.8336 0.5000
0.3344 0.6656 0.0000
0.6656 0.3344 0.0000
0.0000 0.0000 0.0000
```

# LiSm4Se6

A relaxed LiSm4Se6 crystal (PBE, Alexandria via LeMat-Bulk).

Output
**Energy relative to the elements, uncorrected**: -1737 meV per atom

Cell and atoms, written as POSCAR:
```
LiSm4Se6
1.0
-2.8560 -0.4563 -7.5771
6.7307 -3.9777 -2.1569
-3.5306 -7.1197 1.6191
Li Sm Se
2 8 12
Direct
0.5000 0.5000 0.5000
0.0000 0.0000 0.0000
0.3621 0.1379 0.2500
0.8621 0.2500 0.3621
0.2500 0.6379 0.1379
0.2500 0.2500 0.7500
0.7500 0.7500 0.2500
0.7500 0.3621 0.8621
0.1379 0.7500 0.6379
0.6379 0.8621 0.7500
0.6857 0.0600 0.0832
0.0832 0.3143 0.0600
0.5832 0.4400 0.1857
0.9400 0.0832 0.6857
0.5600 0.1857 0.5832
0.1857 0.4168 0.4400
0.8143 0.5832 0.5600
0.4400 0.8143 0.4168
0.0600 0.9168 0.3143
0.4168 0.5600 0.8143
0.9168 0.6857 0.9400
0.3143 0.9400 0.9168
```

# TaSi2Br

A relaxed TaSi2Br crystal (PBE, Alexandria via LeMat-Bulk).

Output
**Excess energy over the best structure of this formula in the dataset**: 323 meV/atom
**Energy relative to the elements, uncorrected**: 343 meV per atom

Cell and atoms, written as POSCAR:
```
TaSi2Br
1.0
-2.2427 0.2712 2.0967
0.5137 -3.0389 -0.0159
5.4183 0.8863 5.6811
Br Si Ta
1 2 1
Direct
0.5000 0.5000 0.7500
0.0000 0.0000 0.0280
0.0000 0.0000 0.4720
0.5000 0.5000 0.2500
```

Q: Which E values were calculated for the entries above? A: -4.959 -5.527 -5.750, in eV per atom.